No. 1
LaTc2Ru after structural relaxation, computed with PBE.

Cell lengths 3.1980, 4.5649, 4.9288 Å; angles 90.00, 90.00, 90.00 degrees
Closest atoms and distances in Å follow each position.
Atoms (fractional coordinates):
La: 0.5000 0.0000 0.5000  4 Ru 2.79, 4 Tc 2.94
Ru: 0.0000 0.5000 0.5000  4 La 2.79, 4 Tc 2.94
Tc: 0.0000 0.0000 0.0000  4 Tc 2.79, 4 La 2.94
Tc: 0.5000 0.5000 0.0000  4 Tc 2.79, 4 Ru 2.94

Computed properties:
DFT formation energy in eV per atom: 0.5068
Relative energy among the computed polymorphs in meV per atom: 264


No. 2
SrFeOs after structural relaxation, computed with PBE.

Cell lengths 6.0411, 6.0411, 6.0411 Å; angles 152.66, 143.84, 45.92 degrees
Closest atoms and distances in Å follow each position.
Atoms (fractional coordinates):
Fe: 0.9473 0.9473 0.0000  4 Os 2.46
Os: 0.3848 0.3848 0.0000  4 Fe 2.46
Sr: 0.6679 0.6679 0.0000  2 Sr 2.86, 1 Fe 3.11, 1 Os 3.15

Computed properties:
DFT formation energy in eV per atom: 0.5640
Relative energy among the computed polymorphs in meV per atom: 281


No. 3
Mg5Zn2Sn after structural relaxation, computed with PBE.

Cell lengths 7.1022, 7.1022, 8.4271 Å; angles 114.92, 114.92, 90.00 degrees
Closest atoms and distances in Å follow each position.
Atoms (fractional coordinates):
Mg: 0.5200 0.6934 0.7134  3 Zn 2.85, 2 Sn 3.02
Mg: 0.8066 0.9800 0.2866  3 Zn 2.85, 2 Sn 3.02
Mg: 0.0000 0.0000 0.0000  4 Zn 2.79
Mg: 0.5000 0.5000 0.0000  4 Zn 2.79
Mg: 0.1934 0.0200 0.7134  3 Zn 2.85, 2 Sn 3.02
Mg: 0.6934 0.1934 0.7134  3 Zn 2.85, 2 Sn 3.02
Mg: 0.0200 0.5200 0.7134  3 Zn 2.85, 2 Sn 3.02
Mg: 0.3066 0.8066 0.2866  3 Zn 2.85, 2 Sn 3.02
Mg: 0.9800 0.4800 0.2866  3 Zn 2.85, 2 Sn 3.02
Mg: 0.4800 0.3066 0.2866  3 Zn 2.85, 2 Sn 3.02
Zn: 0.1287 0.3713 0.0000  1 Zn 2.59, 8 Mg 2.79-2.85
Zn: 0.6287 0.1287 0.0000  1 Zn 2.59, 8 Mg 2.79-2.85
Zn: 0.3713 0.8713 0.0000  1 Zn 2.59, 8 Mg 2.79-2.85
Zn: 0.8713 0.6287 0.0000  1 Zn 2.59, 8 Mg 2.79-2.85
Sn: 0.7500 0.7500 0.5000  10 Mg 3.02-3.38
Sn: 0.2500 0.2500 0.5000  10 Mg 3.02-3.38

Computed properties:
DFT formation energy in eV per atom: -0.0839


No. 4
Cd2SbAs2 after structural relaxation, computed with PBE.

Cell lengths 7.9755, 7.9755, 3.7191 Å; angles 90.00, 90.00, 90.00 degrees
Closest atoms and distances in Å follow each position.
Atoms (fractional coordinates):
Sb: 0.0000 0.0000 0.0000  4 As 2.93
Sb: 0.5000 0.5000 0.0000  4 As 2.93
As: 0.3192 0.8192 0.0000  6 Cd 2.82-3.13, 2 Sb 2.93
As: 0.8192 0.6808 0.0000  6 Cd 2.82-3.13, 2 Sb 2.93
As: 0.6808 0.1808 0.0000  6 Cd 2.82-3.13, 2 Sb 2.93
As: 0.1808 0.3192 0.0000  6 Cd 2.82-3.13, 2 Sb 2.93
Cd: 0.1306 0.6306 0.5000  6 As 2.82-3.13, 1 Cd 2.95
Cd: 0.6306 0.8694 0.5000  6 As 2.82-3.13, 1 Cd 2.95
Cd: 0.8694 0.3694 0.5000  6 As 2.82-3.13, 1 Cd 2.95
Cd: 0.3694 0.1306 0.5000  6 As 2.82-3.13, 1 Cd 2.95

Computed properties:
Relative energy among the computed polymorphs in meV per atom: 0


No. 5
YCo2Sb after structural relaxation, computed with PBE.

Cell lengths 3.2627, 3.2627, 6.8824 Å; angles 90.00, 90.00, 90.00 degrees
Closest atoms and distances in Å follow each position.
Atoms (fractional coordinates):
Co: 0.0000 0.0000 0.0586  4 Co 2.53, 1 Sb 2.60
Co: 0.5000 0.5000 0.2095  4 Co 2.53, 4 Sb 2.79
Sb: 0.0000 0.0000 0.4364  5 Co 2.60-2.79
Y: 0.5000 0.5000 0.7955  5 Co 2.85-2.93

Computed properties:
Calculated total energy in eV/atom: -6.20


No. 6
Ho2PuC after structural relaxation, computed with PBE.

Cell lengths 3.4780, 3.4780, 9.8467 Å; angles 79.83, 79.83, 60.00 degrees
Closest atoms and distances in Å follow each position.
Atoms (fractional coordinates):
C: 0.5000 0.5000 0.5000  6 Ho 2.43
Ho: 0.1196 0.1196 0.6412  3 C 2.43
Ho: 0.8804 0.8804 0.3588  3 C 2.43
Pu: 0.0000 0.0000 0.0000  2 Ho 3.46, 6 Pu 3.48

Computed properties:
DFT formation energy in eV per atom: 0.0210


No. 7
VPd2Pt8 after structural relaxation, computed with PBE.

Cell lengths 3.9246, 6.2591, 7.3830 Å; angles 104.78, 105.41, 90.00 degrees
Closest atoms and distances in Å follow each position.
Atoms (fractional coordinates):
V: 0.5000 0.0000 0.0000  12 Pt 2.70-2.76
Pd: 0.2245 0.6324 0.4490  2 Pd 2.79, 10 Pt 2.79-2.87
Pd: 0.7755 0.3676 0.5510  2 Pd 2.79, 10 Pt 2.79-2.87
Pt: 0.5886 0.4383 0.1773  1 V 2.70, 8 Pt 2.74-2.90, 3 Pd 2.80-2.81
Pt: 0.3211 0.0892 0.6422  8 Pt 2.75-2.90, 1 V 2.75, 3 Pd 2.81-2.83
Pt: 0.1314 0.1713 0.2629  7 Pt 2.70-2.88, 2 V 2.73, 3 Pd 2.84-2.87
Pt: 0.0445 0.7315 0.0889  9 Pt 2.70-2.87, 2 V 2.76, 1 Pd 2.79
Pt: 0.8686 0.8287 0.7371  7 Pt 2.70-2.88, 2 V 2.73, 3 Pd 2.84-2.87
Pt: 0.6789 0.9108 0.3578  8 Pt 2.75-2.90, 1 V 2.75, 3 Pd 2.81-2.83
Pt: 0.4114 0.5617 0.8227  1 V 2.70, 8 Pt 2.74-2.90, 3 Pd 2.80-2.81
Pt: 0.9555 0.2685 0.9111  9 Pt 2.70-2.87, 2 V 2.76, 1 Pd 2.79

Computed properties:
DFT formation energy in eV per atom: -0.2344


No. 8
GeHS2 after structural relaxation, computed with PBE.

Cell lengths 5.9514, 6.7553, 6.7682 Å; angles 78.81, 63.88, 63.84 degrees
Closest atoms and distances in Å follow each position.
Atoms (fractional coordinates):
Ge: 0.8962 0.6766 0.1836  4 S 2.25
Ge: 0.3961 0.6767 0.1836  4 S 2.25
H: 0.6441 0.1765 0.6847  2 H 2.98, 4 S 3.32-3.33
H: 0.1439 0.1765 0.6849  2 H 2.98, 4 S 3.31-3.33
S: 0.0072 0.6767 0.4610  2 Ge 2.25
S: 0.5071 0.9547 0.1837  2 Ge 2.25
S: 0.7851 0.3987 0.1837  2 Ge 2.25
S: 0.2850 0.6769 0.9062  2 Ge 2.25

Computed properties:
Relative energy among the computed polymorphs in meV per atom: 398


No. 9
Ce2Nd5Co4 after structural relaxation, computed with PBE.

Cell lengths 3.5420, 7.0234, 16.6842 Å; angles 134.84, 96.09, 90.00 degrees
Closest atoms and distances in Å follow each position.
Atoms (fractional coordinates):
Ce: 0.0723 0.6535 0.1445  1 Co 2.19
Ce: 0.9277 0.3465 0.8555  1 Co 2.19
Nd: 0.2193 0.1059 0.4386  2 Co 2.89
Nd: 0.7807 0.8941 0.5614  2 Co 2.89
Nd: 0.1425 0.3816 0.2849  3 Co 2.77-2.80
Nd: 0.5000 0.0000 0.0000  4 Co 2.89
Nd: 0.8575 0.6184 0.7151  3 Co 2.77-2.80
Co: 0.6345 0.6623 0.2690  2 Ce 2.69, 4 Nd 2.80-2.89
Co: 0.0406 0.8401 0.0811  1 Ce 2.19
Co: 0.3655 0.3377 0.7310  2 Ce 2.69, 4 Nd 2.80-2.89
Co: 0.9594 0.1599 0.9189  1 Ce 2.19

Computed properties:
DFT formation energy in eV per atom: 0.0660


No. 10
YTa2Zn after structural relaxation, computed with PBE.

Cell lengths 3.3465, 3.3465, 7.2318 Å; angles 90.00, 90.00, 90.00 degrees
Closest atoms and distances in Å follow each position.
Atoms (fractional coordinates):
Ta: 0.0000 0.0000 0.9414  4 Zn 2.74, 1 Ta 2.77
Ta: 0.0000 0.0000 0.5586  4 Zn 2.74, 1 Ta 2.77
Y: 0.5000 0.5000 0.2500  8 Ta 3.25, 4 Y 3.35, 2 Zn 3.62
Zn: 0.5000 0.5000 0.7500  8 Ta 2.74

Computed properties:
DFT formation energy in eV per atom: 0.3775


no.,volume (Å³ per cell),theoretical density (Mg/m³)
1,72.0,10.062
2,59.5,9.305
3,341.3,3.610
4,236.6,6.969
5,73.3,7.446
6,101.0,9.634
7,168.6,17.969
8,219.3,2.087
9,291.0,7.060
10,81.0,10.584